Computed, not measured: Be2TlCo after structural relaxation at the GGA-PBE level of DFT.

abc: 4.9179 4.9179 4.9179
angles: 140.28 136.38 60.45
Last column: nearest neighbours and their distance in Å.
Positions (direct):
Be 0.0000 0.0000 0.0000  2 Be 2.30, 4 Co 2.48
Be 0.6650 0.1650 0.5000  2 Co 2.14, 2 Be 2.30
Tl 0.2579 0.7579 0.5000  8 Be 2.60-2.76, 4 Co 2.71-2.80
Co 0.5083 0.5083 0.0000  2 Be 2.14

## Properties
The energy above the lowest structure with this stoichiometry comes out at 19.1 kJ/mol of atoms. The value obtained for the density of states at the Fermi level is 1.49 states/eV/f.u. The symmetry is Imm2, No. 44. The total energy comes out at -3.8301 eV/atom. For the size of the total moment, the calculation gives 0.0 μB/f.u.



Computed, not measured: TmSi4Pd4 after structural relaxation at the GGA-PBE level of DFT.

abc: 6.0176 6.0176 8.1846
angles: 90.00 90.00 90.00
Last column: nearest neighbours and their distance in Å.
Positions (direct):
Tm 0.2500 0.7500 0.2500  4 Si 3.15, 8 Pd 3.45
Tm 0.7500 0.2500 0.7500  4 Si 3.15, 8 Pd 3.45
Si 0.0463 0.2500 0.0674  5 Pd 2.45-2.49, 1 Si 2.45
Si 0.2500 0.0463 0.5674  5 Pd 2.45-2.49, 1 Si 2.45
Si 0.2500 0.4537 0.5674  5 Pd 2.45-2.49, 1 Si 2.45
Si 0.4537 0.2500 0.0674  5 Pd 2.45-2.49, 1 Si 2.45
Si 0.5463 0.7500 0.9326  5 Pd 2.45-2.49, 1 Si 2.45
Si 0.7500 0.5463 0.4326  5 Pd 2.45-2.49, 1 Si 2.45
Si 0.7500 0.9537 0.4326  5 Pd 2.45-2.49, 1 Si 2.45
Si 0.9537 0.7500 0.9326  5 Pd 2.45-2.49, 1 Si 2.45
Pd 0.0177 0.2500 0.3657  5 Si 2.45-2.49
Pd 0.2500 0.0177 0.8657  5 Si 2.45-2.49
Pd 0.2500 0.4823 0.8657  5 Si 2.45-2.49
Pd 0.4823 0.2500 0.3657  5 Si 2.45-2.49
Pd 0.5177 0.7500 0.6343  5 Si 2.45-2.49
Pd 0.7500 0.5177 0.1343  5 Si 2.45-2.49
Pd 0.7500 0.9823 0.1343  5 Si 2.45-2.49
Pd 0.9823 0.7500 0.6343  5 Si 2.45-2.49

## Properties
The value obtained for the density of states at the Fermi level is 4.91 states/eV/f.u. The symmetry is P4_2/nmc, No. 137. The total energy comes out at -5.7918 eV/atom. The value obtained for the formation energy (no corrections) is -0.577 eV per atom. For the size of the total moment, the calculation gives 0.0 μB/f.u.



Computed, not measured: SrMgTlAu after structural relaxation at the GGA-PBE level of DFT.

abc: 5.2598 5.2598 5.2598
angles: 60.00 60.00 60.00
Last column: nearest neighbours and their distance in Å.
Positions (direct):
Sr 0.0000 0.0000 0.0000  4 Tl 3.22, 4 Au 3.22
Mg 0.5000 0.5000 0.5000  4 Tl 3.22, 4 Au 3.22
Tl 0.2500 0.2500 0.2500  4 Mg 3.22, 4 Sr 3.22
Au 0.7500 0.7500 0.7500  4 Mg 3.22, 4 Sr 3.22

## Properties
The value obtained for the density of states at the Fermi level is 1.01 states/eV/f.u. The symmetry is F-43m, No. 216. The total energy comes out at -2.6153 eV/atom. For the size of the total moment, the calculation gives 0.0 μB/f.u.



Computed, not measured: PmCdP2 after structural relaxation at the GGA-PBE level of DFT.

abc: 4.6631 4.6631 3.7656
angles: 90.00 90.00 90.00
Last column: nearest neighbours and their distance in Å.
Positions (direct):
Pm 0.0000 0.0000 0.0000  8 P 3.00, 4 Cd 3.30
Cd 0.5000 0.5000 0.0000  8 P 3.00, 4 Pm 3.30
P 0.0000 0.5000 0.5000  4 Cd 3.00, 4 Pm 3.00, 4 P 3.30
P 0.5000 0.0000 0.5000  4 Cd 3.00, 4 Pm 3.00, 4 P 3.30

## Properties
The energy above the lowest structure with this stoichiometry comes out at 0.0 kJ/mol of atoms. The value obtained for the density of states at the Fermi level is 1.74 states/eV/f.u. The symmetry is P4/mmm, No. 123. The total energy comes out at -4.6312 eV/atom. For the size of the total moment, the calculation gives 0.0 μB/f.u.



Computed, not measured: Ba3Ca2In4 after structural relaxation at the GGA-PBE level of DFT.

abc: 5.8142 5.8142 11.1047
angles: 90.03 90.03 60.05
Last column: nearest neighbours and their distance in Å.
Positions (direct):
Ba 0.0000 0.0000 0.0000  8 In 3.54-3.67
Ba 0.3336 0.3336 0.4129  4 In 3.46-3.48, 1 Ba 3.87
Ba 0.6664 0.6664 0.5871  4 In 3.46-3.48, 1 Ba 3.87
Ca 0.3326 0.3326 0.7941  7 In 3.41-3.64
Ca 0.6674 0.6674 0.2059  7 In 3.41-3.64
In 0.0004 0.0004 0.3308  4 Ba 3.48-3.67, 3 Ca 3.63-3.64, 1 In 3.76
In 0.9996 0.9996 0.6692  4 Ba 3.48-3.67, 3 Ca 3.63-3.64, 1 In 3.76
In 0.3341 0.3341 0.1014  4 Ca 3.41-3.55, 4 Ba 3.46-3.55
In 0.6659 0.6659 0.8986  4 Ca 3.41-3.55, 4 Ba 3.46-3.55

## Properties
The value obtained for the density of states at the Fermi level is 5.46 states/eV/f.u. The symmetry is C2/m, No. 12. The total energy comes out at -2.6711 eV/atom. For the size of the total moment, the calculation gives 0.0 μB/f.u.



Computed, not measured: La3TbPm3 after structural relaxation at the GGA-PBE level of DFT.

abc: 9.8577 9.8577 5.9267
angles: 90.00 90.00 120.00
Last column: nearest neighbours and their distance in Å.
Positions (direct):
La 0.0474 0.2426 0.2500  5 Pm 3.64-3.77, 6 La 3.69-3.80, 1 Tb 3.69
La 0.1952 0.9526 0.2500  5 Pm 3.64-3.77, 6 La 3.69-3.80, 1 Tb 3.69
La 0.2426 0.1952 0.7500  5 Pm 3.64-3.77, 6 La 3.69-3.80, 1 Tb 3.69
La 0.7574 0.8048 0.2500  5 Pm 3.64-3.77, 6 La 3.69-3.80, 1 Tb 3.69
La 0.8048 0.0474 0.7500  5 Pm 3.64-3.77, 6 La 3.69-3.80, 1 Tb 3.69
La 0.9526 0.7574 0.7500  5 Pm 3.64-3.77, 6 La 3.69-3.80, 1 Tb 3.69
Tb 0.3333 0.6667 0.2500  9 Pm 3.65-3.72, 3 La 3.69
Tb 0.6667 0.3333 0.7500  9 Pm 3.65-3.72, 3 La 3.69
Pm 0.0953 0.4803 0.7500  4 Pm 3.63-3.70, 5 La 3.64-3.77, 3 Tb 3.65-3.72
Pm 0.3850 0.9047 0.7500  4 Pm 3.63-3.70, 5 La 3.64-3.77, 3 Tb 3.65-3.72
Pm 0.4803 0.3850 0.2500  4 Pm 3.63-3.70, 5 La 3.64-3.77, 3 Tb 3.65-3.72
Pm 0.5197 0.6150 0.7500  4 Pm 3.63-3.70, 5 La 3.64-3.77, 3 Tb 3.65-3.72
Pm 0.6150 0.0953 0.2500  4 Pm 3.63-3.70, 5 La 3.64-3.77, 3 Tb 3.65-3.72
Pm 0.9047 0.5197 0.2500  4 Pm 3.63-3.70, 5 La 3.64-3.77, 3 Tb 3.65-3.72

## Properties
The energy above the lowest structure with this stoichiometry comes out at 0.0 kJ/mol of atoms. The value obtained for the density of states at the Fermi level is 12.07 states/eV/f.u. The symmetry is P6_3/m, No. 176. The total energy comes out at -4.7765 eV/atom. For the size of the total moment, the calculation gives 0.0 μB/f.u.



Computed, not measured: CrTcRh4 after structural relaxation at the GGA-PBE level of DFT.

abc: 7.1143 7.1143 7.1143
angles: 33.26 33.26 33.26
Last column: nearest neighbours and their distance in Å.
Positions (direct):
Cr 0.0000 0.0000 0.0000  8 Rh 2.45-2.48
Tc 0.5000 0.5000 0.5000  8 Rh 2.52-2.56
Rh 0.1215 0.1215 0.1215  1 Cr 2.45, 3 Tc 2.52
Rh 0.3728 0.3728 0.3728  3 Cr 2.48, 1 Tc 2.56
Rh 0.6272 0.6272 0.6272  3 Cr 2.48, 1 Tc 2.56
Rh 0.8785 0.8785 0.8785  1 Cr 2.45, 3 Tc 2.52

## Properties
The energy above the lowest structure with this stoichiometry comes out at 44.1 kJ/mol of atoms. The value obtained for the density of states at the Fermi level is 6.02 states/eV/f.u. The symmetry is R-3m, No. 166. The total energy comes out at -7.9072 eV/atom. For the size of the total moment, the calculation gives 0.7 μB/f.u.



Computed, not measured: NaTiS2 after structural relaxation at the GGA-PBE level of DFT.

abc: 3.5282 3.5282 6.8348
angles: 90.00 90.00 120.00
Last column: nearest neighbours and their distance in Å.
Positions (direct):
Na 0.0000 0.0000 0.0000  6 S 2.84
Ti 0.0000 0.0000 0.5000  6 S 2.49
S 0.3333 0.6667 0.2897  3 Ti 2.49
S 0.6667 0.3333 0.7103  3 Ti 2.49

## Properties
The value obtained for the density of states at the Fermi level is 1.59 states/eV/f.u. The symmetry is P-3m1, No. 164. The total energy comes out at -5.7125 eV/atom. The value obtained for the formation energy (no corrections) is -1.345 eV per atom. For the size of the total moment, the calculation gives 0.6 μB/f.u.



Computed, not measured: LaAl2GeS after structural relaxation at the GGA-PBE level of DFT.

abc: 4.6845 4.6845 6.1151
angles: 90.00 90.00 90.00
Last column: nearest neighbours and their distance in Å.
Positions (direct):
La 0.0000 0.0000 0.0000  2 Ge 3.06, 4 S 3.31
Al 0.0000 0.5000 0.5000  2 Ge 2.34
Al 0.5000 0.0000 0.5000  2 Ge 2.34
Ge 0.0000 0.0000 0.5000  4 Al 2.34
S 0.5000 0.5000 0.0000  4 La 3.31

## Properties
The value obtained for the density of states at the Fermi level is 3.87 states/eV/f.u. The symmetry is P4/mmm, No. 123. The total energy comes out at -4.2843 eV/atom. The value obtained for the formation energy (no corrections) is -0.053 eV per atom. For the size of the total moment, the calculation gives 0.0 μB/f.u.



Computed, not measured: CoRhSN2 after structural relaxation at the GGA-PBE level of DFT.

abc: 3.4258 3.4258 6.3410
angles: 90.00 90.00 90.00
Last column: nearest neighbours and their distance in Å.
Positions (direct):
Co 0.0000 0.0000 0.0000  4 N 1.71
Rh 0.5000 0.5000 0.5000  4 S 2.42
S 0.0000 0.0000 0.5000  4 Rh 2.42
N 0.0000 0.5000 0.0000  2 Co 1.71
N 0.5000 0.0000 0.0000  2 Co 1.71

## Properties
The energy above the lowest structure with this stoichiometry comes out at 0.0 kJ/mol of atoms. The value obtained for the density of states at the Fermi level is 6.70 states/eV/f.u. The symmetry is P4/mmm, No. 123. The total energy comes out at -5.9754 eV/atom. The value obtained for the formation energy (no corrections) is 1.072 eV per atom. For the size of the total moment, the calculation gives 0.0 μB/f.u.